# 1
## Pu3Re (GGA-PBE)

Data for Pu3Re after structural relaxation.

The structure belongs to space group Imm2 (No. 44); the cell edges are 2.7716, 9.6090 and 5.8950 Å and the angles 90.00°, 90.00° and 90.00°. The asymmetric unit holds Pu at (0.0000, 0.0000, 0.0000), Pu at (0.0000, 0.2307, 0.1980) and Re at (0.0000, 0.5000, 0.0147).

The value obtained for the formation energy from the elements is 0.296 eV per atom. Its relative energy among the computed polymorphs is 111 meV per atom. The calculation puts the raw total energy at -108.5 eV/cell.


# 2
## PuRe6 (GGA-PBE)

Data for PuRe6 after structural relaxation.

The structure belongs to space group Pnma (No. 62); the cell edges are 8.5583, 5.1840 and 10.8563 Å and the angles 90.00°, 90.00° and 90.00°. The asymmetric unit holds Pu at (0.2314, 0.2500, 0.0547), Re at (0.0685, 0.0078, 0.3061), Re at (0.0774, 0.7500, 0.0768), Re at (0.0873, 0.2500, 0.5209), Re at (0.1442, 0.7500, 0.8476) and Re at (0.1853, 0.2500, 0.7575).

The value obtained for the formation energy from the elements is 0.144 eV per atom. Its relative energy among the computed polymorphs is 0 meV per atom. The calculation puts the raw total energy at -352.0 eV/cell.


# 3
## Pu4Re (GGA-PBE)

Data for Pu4Re after structural relaxation.

The structure belongs to space group Pm-3m (No. 221); the cell edges are 5.3028, 5.3028 and 5.3028 Å and the angles 90.00°, 90.00° and 90.00°. The asymmetric unit holds Pu at (0.0000, 0.0000, 0.0000), Pu at (0.0000, 0.5000, 0.5000) and Re at (0.5000, 0.5000, 0.5000).

The value obtained for the formation energy from the elements is 0.658 eV per atom. The calculation puts the raw total energy at -66.5 eV/cell.


# 4
## Pu3Re (GGA-PBE)

Data for Pu3Re after structural relaxation.

The structure belongs to space group Fm-3m (No. 225); the cell edges are 6.7775, 6.7775 and 6.7775 Å and the angles 90.00°, 90.00° and 90.00°. The asymmetric unit holds Pu at (0.0000, 0.0000, 0.0000), Pu at (0.2500, 0.2500, 0.2500) and Re at (0.0000, 0.0000, 0.5000).

The value obtained for the formation energy from the elements is 0.185 eV per atom. Its relative energy among the computed polymorphs is 0 meV per atom. The calculation puts the raw total energy at -218.8 eV/cell.


# 5
## Pu2ReRh (GGA-PBE)

Data for Pu2ReRh after structural relaxation.

The structure belongs to space group P4/mmm (No. 123); the cell edges are 3.4337, 3.4337 and 6.6597 Å and the angles 90.00°, 90.00° and 90.00°. The asymmetric unit holds Pu at (0.0000, 0.0000, 0.2477), Re at (0.5000, 0.5000, 0.5000) and Rh at (0.5000, 0.5000, 0.0000).

The value obtained for the formation energy from the elements is -0.067 eV per atom. The calculation puts the raw total energy at -48.7 eV/cell.


# 6
## Pu2ReRu3 (GGA-PBE)

Data for Pu2ReRu3 after structural relaxation.

The structure belongs to space group P6_3/mmc (No. 194); the cell edges are 5.5311, 5.5311 and 8.0679 Å and the angles 90.00°, 90.00° and 120.00°. The asymmetric unit holds Pu at (0.3333, 0.6667, 0.0716), Re at (0.0000, 0.0000, 0.0000) and Ru at (0.1706, 0.3413, 0.7500).

The value obtained for the formation energy from the elements is -0.113 eV per atom. The calculation puts the raw total energy at -139.2 eV/cell.


# 7
## Pu2ReRu (GGA-PBE)

Data for Pu2ReRu after structural relaxation.

The structure belongs to space group P4/mmm (No. 123); the cell edges are 3.3900, 3.3900 and 6.7069 Å and the angles 90.00°, 90.00° and 90.00°. The asymmetric unit holds Pu at (0.0000, 0.0000, 0.2479), Re at (0.5000, 0.5000, 0.5000) and Ru at (0.5000, 0.5000, 0.0000).

The value obtained for the formation energy from the elements is 0.080 eV per atom. Its relative energy among the computed polymorphs is 0 meV per atom. The calculation puts the raw total energy at -50.1 eV/cell.


# 8
## PuZrReRu (GGA-PBE)

Data for PuZrReRu after structural relaxation.

The structure belongs to space group F-43m (No. 216); the cell edges are 6.6616, 6.6616 and 6.6616 Å and the angles 90.00°, 90.00° and 90.00°. The asymmetric unit holds Pu at (0.0000, 0.0000, 0.0000), Zr at (0.0000, 0.0000, 0.5000), Re at (0.2500, 0.2500, 0.2500) and Ru at (0.2500, 0.2500, 0.7500).

The value obtained for the formation energy from the elements is -0.132 eV per atom. The calculation puts the raw total energy at -180.5 eV/cell.


# 9
## PuReS (GGA-PBE)

Data for PuReS after structural relaxation.

The structure belongs to space group P4/nmm (No. 129, origin choice 2); the cell edges are 3.6937, 3.6937 and 8.2683 Å and the angles 90.00°, 90.00° and 90.00°. The asymmetric unit holds Pu at (0.2500, 0.2500, 0.1871), Re at (0.2500, 0.2500, 0.5572) and S at (0.2500, 0.2500, 0.8501).

The calculation puts the raw total energy at -65.3 eV/cell. Its uncorrected formation energy is -0.58 eV/atom.


# 10
## Pu3Tl3ReS8 (GGA-PBE)

Data for Pu3Tl3ReS8 after structural relaxation.

The structure belongs to space group R-3m (No. 166, hexagonal axes); the cell edges are 7.7095, 7.7095 and 23.1783 Å and the angles 90.00°, 90.00° and 120.00°. The asymmetric unit holds Pu at (0.0000, 0.5000, 0.0000), Tl at (0.0000, 0.5000, 0.5000), Re at (0.0000, 0.0000, 0.0000), S at (0.0000, 0.0000, 0.2666) and S at (0.0300, 0.5150, 0.7287).

The calculation puts the raw total energy at -330.2 eV/cell. Its uncorrected formation energy is -0.97 eV/atom.


# 11
## Pu2ReSe (GGA-PBE)

Data for Pu2ReSe after structural relaxation.

The structure belongs to space group R-3m (No. 166, hexagonal axes); the cell edges are 3.2959, 3.2959 and 28.1652 Å and the angles 90.00°, 90.00° and 120.00°. The asymmetric unit holds Pu at (0.0000, 0.0000, 0.0900), Re at (0.0000, 0.0000, 0.0000) and Se at (0.0000, 0.0000, 0.5000).

The calculation puts the raw total energy at -130.5 eV/cell. Its uncorrected formation energy is 0.27 eV/atom.


# 12
## PuRe4Se8 (GGA-PBE)

Data for PuRe4Se8 after structural relaxation.

The structure belongs to space group R-3m (No. 166, hexagonal axes); the cell edges are 7.4744, 7.4744 and 18.3631 Å and the angles 90.00°, 90.00° and 120.00°. The asymmetric unit holds Pu at (0.0000, 0.0000, 0.0000), Re at (0.0000, 0.0000, 0.5000), Re at (0.0000, 0.5000, 0.5000), Se at (0.0000, 0.0000, 0.2422) and Se at (0.0107, 0.5054, 0.2426).

The calculation puts the raw total energy at -280.0 eV/cell. Its uncorrected formation energy is -0.10 eV/atom.


Q: The highest raw total energy belongs to which entry?
A: Pu2ReRh


Q: What is the raw total energy in the fourth record?
A: -218.8 eV/cell


Q: Number 10 is which compound?
A: Pu3Tl3ReS8